A geometry-optimized CaV4Co3O12 structure. Source: the Alexandria database, functional PBE with a Hubbard U.

Computed properties:
magnetic moment: 0.6500 μB per atom
final energy: -0.2625 hartree per atom

CIF file:
```
data_CaV4Co3O12
_cell_length_a 6.467
_cell_length_b 6.453
_cell_length_c 6.467
_cell_angle_alpha 70.56
_cell_angle_beta 70.30
_cell_angle_gamma 109.33
_symmetry_space_group_name_H-M 'P 1'
_symmetry_Int_Tables_number 1
loop_
_symmetry_equiv_pos_as_xyz
'x,y,z'
loop_
_atom_site_label
_atom_site_type_symbol
_atom_site_fract_x
_atom_site_fract_y
_atom_site_fract_z
O1 O 0.818 0.708 0.490
O2 O 0.820 0.303 0.877
O3 O 0.119 0.818 0.702
O4 O 0.692 0.888 0.820
O5 O 0.512 0.804 0.309
O6 O 0.297 0.479 0.823
O7 O 0.182 0.292 0.510
O8 O 0.180 0.697 0.123
O9 O 0.703 0.521 0.177
O10 O 0.488 0.196 0.691
O11 O 0.881 0.182 0.298
O12 O 0.308 0.112 0.180
Co1 Co 0.500 0.000 0.500
Co2 Co 0.000 0.500 0.500
Co3 Co 0.500 0.500 0.000
Ca1 Ca 0.000 0.000 0.000
V1 V 0.000 0.500 0.000
V2 V 0.500 0.500 0.500
V3 V 0.000 0.000 0.500
V4 V 0.500 0.000 0.000
```